## TiPPd2I (meta-GGA SCAN)

Data for TiPPd2I at its PBEsol-relaxed geometry.

a = 4.809 Å, b = 4.809 Å, c = 5.062 Å
α = 90.00°, β = 90.00°, γ = 90.00°
Atoms (fractional coordinates):
Ti 0.000 0.000 0.000
P 0.500 0.500 0.000
Pd 0.000 0.500 0.500
Pd 0.500 0.000 0.500
I 0.000 0.000 0.500

Summary:
Calculated volume ... 23.411 Å³/atom
E_form (uncorrected) ... 4.750 eV per formula unit
Raw total energy ... -24.794 eV/atom
Symmetry ... P4/mmm, No. 123

## LiYSiF2 (meta-GGA SCAN)

Data for LiYSiF2 at its PBEsol-relaxed geometry.

a = 3.910 Å, b = 3.910 Å, c = 5.451 Å
α = 90.00°, β = 90.00°, γ = 90.00°
Atoms (fractional coordinates):
Li 0.000 0.000 0.000
Y 0.000 0.000 0.500
Si 0.500 0.500 0.500
F 0.000 0.500 0.000
F 0.500 0.000 0.000

Summary:
Calculated volume ... 16.669 Å³/atom
E_form (uncorrected) ... -6.592 eV per formula unit
Raw total energy ... -10.784 eV/atom
Symmetry ... P4/mmm, No. 123

## Zr2ScAu (meta-GGA SCAN)

Data for Zr2ScAu at its PBEsol-relaxed geometry.

a = 5.732 Å, b = 5.732 Å, c = 5.732 Å
α = 143.69°, β = 133.09°, γ = 60.73°
Atoms (fractional coordinates):
Zr 0.239 0.239 0.000
Zr 0.761 0.761 0.000
Sc 0.500 0.000 0.500
Au 0.000 0.500 0.500

Summary:
Energy relative to the elements ... -0.47 eV/atom
Calculated volume ... 20.153 Å³/atom
Raw total energy ... -36.669 eV/atom
Symmetry ... Immm, No. 71

## Na6TiMnSi6O18 (meta-GGA SCAN)

Data for Na6TiMnSi6O18 at its PBEsol-relaxed geometry.

a = 7.286 Å, b = 7.286 Å, c = 7.286 Å
α = 88.44°, β = 88.44°, γ = 88.44°
Atoms (fractional coordinates):
Na 0.023 0.023 0.492
Na 0.023 0.492 0.023
Na 0.054 0.473 0.473
Na 0.473 0.054 0.473
Na 0.473 0.473 0.054
Na 0.492 0.023 0.023
Ti 0.023 0.023 0.023
Mn 0.763 0.763 0.763
Si 0.283 0.740 0.740
Si 0.294 0.294 0.750
Si 0.294 0.750 0.294
Si 0.740 0.283 0.740
Si 0.740 0.740 0.283
Si 0.750 0.294 0.294
O 0.101 0.836 0.836
O 0.197 0.197 0.931
O 0.197 0.931 0.197
O 0.228 0.228 0.560
O 0.228 0.560 0.228
O 0.259 0.517 0.779
O 0.259 0.779 0.517
O 0.483 0.802 0.802
O 0.517 0.259 0.779
O 0.517 0.779 0.259
O 0.560 0.228 0.228
O 0.779 0.259 0.517
O 0.779 0.517 0.259
O 0.802 0.483 0.802
O 0.802 0.802 0.483
O 0.836 0.101 0.836
O 0.836 0.836 0.101
O 0.931 0.197 0.197

Summary:
Calculated volume ... 12.076 Å³/atom
E_form (uncorrected) ... -87.688 eV per formula unit
Raw total energy ... -9.985 eV/atom
Symmetry ... R3m, No. 160

## Ni3Ir (meta-GGA SCAN)

Data for Ni3Ir at its PBEsol-relaxed geometry.

a = 4.432 Å, b = 8.194 Å, c = 5.031 Å
α = 90.00°, β = 90.00°, γ = 90.00°
Atoms (fractional coordinates):
Ni 0.081 0.250 0.130
Ni 0.248 0.502 0.877
Ni 0.248 0.998 0.877
Ni 0.252 0.002 0.377
Ni 0.252 0.498 0.377
Ni 0.419 0.750 0.630
Ni 0.581 0.250 0.370
Ni 0.748 0.502 0.623
Ni 0.748 0.998 0.623
Ni 0.752 0.002 0.123
Ni 0.752 0.498 0.123
Ni 0.919 0.750 0.870
Ir 0.077 0.250 0.624
Ir 0.423 0.750 0.124
Ir 0.577 0.250 0.876
Ir 0.923 0.750 0.376

Summary:
Energy relative to the elements ... -0.02 eV/atom
Calculated volume ... 11.418 Å³/atom
Raw total energy ... -29.922 eV/atom
Symmetry ... Pnma, No. 62

## NaAgW3 (meta-GGA SCAN)

Data for NaAgW3 at its PBEsol-relaxed geometry.

a = 4.451 Å, b = 4.451 Å, c = 4.451 Å
α = 90.00°, β = 90.00°, γ = 90.00°
Atoms (fractional coordinates):
Na 0.000 0.000 0.000
Ag 0.500 0.500 0.500
W 0.000 0.000 0.500
W 0.000 0.500 0.000
W 0.500 0.000 0.000

Summary:
Energy relative to the elements ... 3.21 eV/atom
Calculated volume ... 17.638 Å³/atom
Raw total energy ... -45.720 eV/atom
Symmetry ... Pm-3m, No. 221

## RbTiSi3 (meta-GGA SCAN)

Data for RbTiSi3 at its PBEsol-relaxed geometry.

a = 5.039 Å, b = 5.039 Å, c = 5.039 Å
α = 90.00°, β = 90.00°, γ = 90.00°
Atoms (fractional coordinates):
Rb 0.000 0.000 0.000
Ti 0.500 0.500 0.500
Si 0.000 0.000 0.500
Si 0.000 0.500 0.000
Si 0.500 0.000 0.000

Summary:
Calculated volume ... 25.590 Å³/atom
E_form (uncorrected) ... 12.569 eV per formula unit
Raw total energy ... -10.850 eV/atom
Symmetry ... Pm-3m, No. 221

## KAsPdSe2 (meta-GGA SCAN)

Data for KAsPdSe2 at its PBEsol-relaxed geometry.

a = 5.184 Å, b = 5.184 Å, c = 4.637 Å
α = 90.00°, β = 90.00°, γ = 90.00°
Atoms (fractional coordinates):
K 0.000 0.000 0.000
As 0.500 0.500 0.000
Pd 0.500 0.500 0.500
Se 0.000 0.500 0.500
Se 0.500 0.000 0.500

Summary:
Calculated volume ... 24.926 Å³/atom
E_form (uncorrected) ... -0.938 eV per formula unit
Raw total energy ... -20.478 eV/atom
Symmetry ... P4/mmm, No. 123
Energy above the most stable polymorph in this dataset ... 0.000 eV per formula unit

## TiZnS2 (meta-GGA SCAN)

Data for TiZnS2 at its PBEsol-relaxed geometry.

a = 7.534 Å, b = 7.534 Å, c = 7.534 Å
α = 26.94°, β = 26.94°, γ = 26.94°
Atoms (fractional coordinates):
Ti 0.000 0.000 0.000
Zn 0.500 0.500 0.500
S 0.104 0.104 0.104
S 0.896 0.896 0.896

Summary:
Calculated volume ... 19.360 Å³/atom
E_form (uncorrected) ... -1.483 eV per formula unit
Raw total energy ... -12.571 eV/atom
Symmetry ... R-3m, No. 166
Energy above the most stable polymorph in this dataset ... 2.316 eV per formula unit

## Zr2TaCl (meta-GGA SCAN)

Data for Zr2TaCl at its PBEsol-relaxed geometry.

a = 3.229 Å, b = 4.441 Å, c = 5.381 Å
α = 90.00°, β = 90.00°, γ = 90.00°
Atoms (fractional coordinates):
Zr 0.000 0.000 0.000
Zr 0.500 0.000 0.500
Ta 0.000 0.500 0.500
Cl 0.500 0.500 0.000

Summary:
Calculated volume ... 19.287 Å³/atom
E_form (uncorrected) ... 1.270 eV per formula unit
Raw total energy ... -33.672 eV/atom
Symmetry ... Pmmm, No. 47
Energy above the most stable polymorph in this dataset ... 1.388 eV per formula unit

## Zn2FeMo (meta-GGA SCAN)

Data for Zn2FeMo at its PBEsol-relaxed geometry.

a = 2.582 Å, b = 2.582 Å, c = 7.957 Å
α = 90.00°, β = 90.00°, γ = 90.00°
Atoms (fractional coordinates):
Zn 0.000 0.000 0.234
Zn 0.000 0.000 0.766
Fe 0.500 0.500 0.000
Mo 0.500 0.500 0.500

Summary:
Energy relative to the elements ... 0.02 eV/atom
Calculated volume ... 13.260 Å³/atom
Raw total energy ... -19.992 eV/atom
Symmetry ... P4/mmm, No. 123
Energy above the most stable polymorph in this dataset ... 0.000 eV per formula unit

## Ag2WI (meta-GGA SCAN)

Data for Ag2WI at its PBEsol-relaxed geometry.

a = 4.848 Å, b = 4.848 Å, c = 4.848 Å
α = 60.00°, β = 60.00°, γ = 60.00°
Atoms (fractional coordinates):
Ag 0.250 0.250 0.250
Ag 0.750 0.750 0.750
W 0.000 0.000 0.000
I 0.500 0.500 0.500

Summary:
Calculated volume ... 20.142 Å³/atom
E_form (uncorrected) ... 6.549 eV per formula unit
Raw total energy ... -40.654 eV/atom
Symmetry ... Fm-3m, No. 225

## HfSc2CoN (meta-GGA SCAN)

Data for HfSc2CoN at its PBEsol-relaxed geometry.

a = 5.097 Å, b = 5.097 Å, c = 4.211 Å
α = 90.00°, β = 90.00°, γ = 90.00°
Atoms (fractional coordinates):
Hf 0.000 0.000 0.000
Sc 0.000 0.500 0.000
Sc 0.500 0.000 0.000
Co 0.000 0.000 0.500
N 0.500 0.500 0.500

Summary:
Calculated volume ... 21.877 Å³/atom
E_form (uncorrected) ... 9.071 eV per formula unit
Raw total energy ... -21.734 eV/atom
Symmetry ... P4/mmm, No. 123

## ZrCu2Ag (meta-GGA SCAN)

Data for ZrCu2Ag at its PBEsol-relaxed geometry.

a = 2.904 Å, b = 3.388 Å, c = 6.221 Å
α = 90.00°, β = 90.00°, γ = 90.00°
Atoms (fractional coordinates):
Zr 0.000 0.000 0.000
Cu 0.500 0.500 0.272
Cu 0.500 0.500 0.728
Ag 0.000 0.000 0.500

Summary:
Energy relative to the elements ... -0.04 eV/atom
Calculated volume ... 15.304 Å³/atom
Raw total energy ... -23.151 eV/atom
Symmetry ... Pmmm, No. 47
Energy above the most stable polymorph in this dataset ... 0.255 eV per formula unit

## CdIn2Tc (meta-GGA SCAN)

Data for CdIn2Tc at its PBEsol-relaxed geometry.

a = 4.751 Å, b = 4.751 Å, c = 4.751 Å
α = 60.00°, β = 60.00°, γ = 60.00°
Atoms (fractional coordinates):
Cd 0.000 0.000 0.000
In 0.250 0.250 0.250
In 0.500 0.500 0.500
Tc 0.750 0.750 0.750

Summary:
Energy relative to the elements ... 0.61 eV/atom
Calculated volume ... 18.961 Å³/atom
Raw total energy ... -32.449 eV/atom
Symmetry ... F-43m, No. 216

## Na3ZnSi (meta-GGA SCAN)

Data for Na3ZnSi at its PBEsol-relaxed geometry.

a = 5.570 Å, b = 5.570 Å, c = 5.570 Å
α = 90.00°, β = 90.00°, γ = 90.00°
Atoms (fractional coordinates):
Na 0.000 0.000 0.500
Na 0.000 0.500 0.000
Na 0.500 0.000 0.000
Zn 0.500 0.500 0.500
Si 0.000 0.000 0.000

Summary:
Calculated volume ... 34.559 Å³/atom
E_form (uncorrected) ... 2.184 eV per formula unit
Raw total energy ... -6.798 eV/atom
Symmetry ... Pm-3m, No. 221
Energy above the most stable polymorph in this dataset ... 0.000 eV per formula unit

## AgCl5 (meta-GGA SCAN)

Data for AgCl5 at its PBEsol-relaxed geometry.

a = 4.815 Å, b = 9.322 Å, c = 9.322 Å
α = 25.36°, β = 90.00°, γ = 90.00°
Atoms (fractional coordinates):
Ag 0.000 0.000 0.000
Cl 0.000 0.400 0.400
Cl 0.000 0.575 0.575
Cl 0.500 0.198 0.198
Cl 0.500 0.406 0.406
Cl 0.500 0.738 0.738

Summary:
Calculated volume ... 29.875 Å³/atom
E_form (uncorrected) ... 0.029 eV per formula unit
Raw total energy ... -11.871 eV/atom
Symmetry ... Amm2, No. 38

## Mg5Tl (meta-GGA SCAN)

Data for Mg5Tl at its PBEsol-relaxed geometry.

a = 5.237 Å, b = 8.382 Å, c = 8.382 Å
α = 21.88°, β = 90.00°, γ = 90.00°
Atoms (fractional coordinates):
Mg 0.000 0.000 0.000
Mg 0.000 0.332 0.332
Mg 0.000 0.667 0.667
Mg 0.500 0.112 0.112
Mg 0.500 0.777 0.777
Tl 0.500 0.444 0.444

Summary:
Energy relative to the elements ... -0.05 eV/atom
Calculated volume ... 22.854 Å³/atom
Raw total energy ... -16.251 eV/atom
Symmetry ... Amm2, No. 38
Energy above the most stable polymorph in this dataset ... 0.171 eV per formula unit

## ReNiP2 (meta-GGA SCAN)

Data for ReNiP2 at its PBEsol-relaxed geometry.

a = 4.213 Å, b = 4.213 Å, c = 4.419 Å
α = 103.92°, β = 103.92°, γ = 42.67°
Atoms (fractional coordinates):
Re 0.000 0.000 0.000
Ni 0.218 0.218 0.594
P 0.498 0.498 0.584
P 0.734 0.734 0.175

Summary:
Energy relative to the elements ... -0.12 eV/atom
Calculated volume ... 12.841 Å³/atom
Raw total energy ... -27.140 eV/atom
Symmetry ... Cm, No. 8
Energy above the most stable polymorph in this dataset ... 0.000 eV per formula unit

## CaLa2Br (meta-GGA SCAN)

Data for CaLa2Br at its PBEsol-relaxed geometry.

a = 3.820 Å, b = 4.551 Å, c = 7.278 Å
α = 90.00°, β = 104.30°, γ = 90.00°
Atoms (fractional coordinates):
Ca 0.000 0.000 0.000
La 0.281 0.000 0.532
La 0.663 0.500 0.341
Br 0.451 0.500 0.897

Summary:
Calculated volume ... 30.652 Å³/atom
E_form (uncorrected) ... -2.044 eV per formula unit
Raw total energy ... -29.344 eV/atom
Symmetry ... Pm, No. 6